No. 1
Density functional theory data (PBE) for a relaxed YHoCd crystal.

Summary:
E_form = -0.372 eV/f.u.
Volume = 345 Å³/cell

Lattice parameters (Å, degrees): 3.586 3.537 27.195 90.00 90.00 90.00
Sites, in units of the cell vectors:
Y (0.000, 0.000, 0.000)
Y (0.000, 0.000, 0.149)
Y (0.000, 0.500, 0.500)
Y (0.000, 0.500, 0.649)
Ho (0.000, 0.000, 0.300)
Ho (0.000, 0.500, 0.800)
Ho (0.500, 0.000, 0.889)
Ho (0.500, 0.500, 0.389)
Cd (0.500, 0.000, 0.575)
Cd (0.500, 0.000, 0.724)
Cd (0.500, 0.500, 0.075)
Cd (0.500, 0.500, 0.224)

---

No. 2
Density functional theory data (PBE) for a relaxed TbErNi crystal.

Summary:
E_form = -0.500 eV/f.u.
Volume = 299 Å³/cell

Lattice parameters (Å, degrees): 6.684 6.684 6.684 90.00 90.00 90.00
Sites, in units of the cell vectors:
Tb (0.000, 0.000, 0.000)
Tb (0.000, 0.500, 0.500)
Tb (0.500, 0.000, 0.500)
Tb (0.500, 0.500, 0.000)
Er (0.000, 0.000, 0.500)
Er (0.000, 0.500, 0.000)
Er (0.500, 0.000, 0.000)
Er (0.500, 0.500, 0.500)
Ni (0.250, 0.250, 0.250)
Ni (0.250, 0.750, 0.750)
Ni (0.750, 0.250, 0.750)
Ni (0.750, 0.750, 0.250)

---

No. 3
Density functional theory data (PBE) for a relaxed Si5W crystal.

Summary:
Volume = 173 Å³/cell
Formation energy (no corrections) = 6.853 kcal/mol of atoms

Lattice parameters (Å, degrees): 4.312 3.158 12.672 90.00 90.00 90.00
Sites, in units of the cell vectors:
Si (0.000, 0.000, 0.000)
Si (0.000, 0.000, 0.322)
Si (0.000, 0.000, 0.665)
Si (0.000, 0.500, 0.165)
Si (0.000, 0.500, 0.500)
Si (0.000, 0.500, 0.822)
Si (0.500, 0.000, 0.218)
Si (0.500, 0.000, 0.888)
Si (0.500, 0.500, 0.388)
Si (0.500, 0.500, 0.718)
W (0.500, 0.000, 0.556)
W (0.500, 0.500, 0.056)

---

No. 4
Density functional theory data (PBE) for a relaxed LaSe8 crystal.

Summary:
Volume = 211 Å³/cell
Formation energy (no corrections) = -1.864 kcal/mol of atoms

Lattice parameters (Å, degrees): 6.903 6.903 6.903 97.97 97.97 136.27
Sites, in units of the cell vectors:
La (0.000, 0.000, 0.000)
Se (0.000, 0.358, 0.358)
Se (0.000, 0.642, 0.642)
Se (0.355, 0.355, 0.710)
Se (0.355, 0.645, 0.000)
Se (0.358, 0.000, 0.358)
Se (0.642, 0.000, 0.642)
Se (0.645, 0.355, 0.000)
Se (0.645, 0.645, 0.290)

---

No. 5
Density functional theory data (PBE) for a relaxed ZrTiO2 crystal.

Summary:
Volume = 133 Å³/cell
Formation energy (no corrections) = -53.934 kcal/mol of atoms

Lattice parameters (Å, degrees): 2.928 2.928 17.903 90.00 90.00 120.00
Sites, in units of the cell vectors:
Zr (0.000, 0.000, 0.000)
Zr (0.333, 0.667, 0.667)
Zr (0.667, 0.333, 0.333)
Ti (0.000, 0.000, 0.832)
Ti (0.333, 0.667, 0.498)
Ti (0.667, 0.333, 0.165)
O (0.000, 0.000, 0.425)
O (0.000, 0.000, 0.573)
O (0.333, 0.667, 0.092)
O (0.333, 0.667, 0.240)
O (0.667, 0.333, 0.758)
O (0.667, 0.333, 0.907)

---

No. 6
Density functional theory data (PBE) for a relaxed Y2ScPt crystal.

Summary:
E_form = -1.930 eV/f.u.
Volume = 95 Å³/cell

Lattice parameters (Å, degrees): 4.999 4.999 3.785 90.00 90.00 90.00
Sites, in units of the cell vectors:
Y (0.000, 0.500, 0.000)
Y (0.500, 0.000, 0.000)
Sc (0.000, 0.000, 0.500)
Pt (0.500, 0.500, 0.500)

---

Please write out number 2 again, unchanged.
Density functional theory data (PBE) for a relaxed TbErNi crystal.

Summary:
E_form = -0.500 eV/f.u.
Volume = 299 Å³/cell

Lattice parameters (Å, degrees): 6.684 6.684 6.684 90.00 90.00 90.00
Sites, in units of the cell vectors:
Tb (0.000, 0.000, 0.000)
Tb (0.000, 0.500, 0.500)
Tb (0.500, 0.000, 0.500)
Tb (0.500, 0.500, 0.000)
Er (0.000, 0.000, 0.500)
Er (0.000, 0.500, 0.000)
Er (0.500, 0.000, 0.000)
Er (0.500, 0.500, 0.500)
Ni (0.250, 0.250, 0.250)
Ni (0.250, 0.750, 0.750)
Ni (0.750, 0.250, 0.750)
Ni (0.750, 0.750, 0.250)

---

Q: The highest volume belongs to which entry?
A: YHoCd